Entry 1:
VASP calculation (SCAN) on a crystal of CaCdP2S relaxed with PBEsol.

Cell: 5.133 5.133 4.993 Å, 90.00 90.00 90.00°
Atoms (fractional coordinates):
Ca  0.000  0.000  0.000
Cd  0.500  0.500  0.500
P  0.000  0.500  0.000
P  0.500  0.000  0.000
S  0.000  0.000  0.500

Output
ρ, Mg/m³: 3.11
Crystal system: tetragonal
Uncorrected energy, eV per atom: -13.3599
Space-group type: No. 123
Energy relative to the elements, uncorrected, meV per atom: 741

---

Entry 2:
VASP calculation (SCAN) on a crystal of CaCdPb2 relaxed with PBEsol.

Cell: 5.414 5.414 5.414 Å, 60.00 60.00 60.00°
Atoms (fractional coordinates):
Ca  0.000  0.000  0.000
Cd  0.750  0.750  0.750
Pb  0.250  0.250  0.250
Pb  0.500  0.500  0.500

Output
ρ, Mg/m³: 8.39
Crystal system: cubic
Uncorrected energy, eV per atom: -48.1973
Space-group type: No. 216

---

Entry 3:
VASP calculation (SCAN) on a crystal of Ca2Cd2Pb relaxed with PBEsol.

Cell: 8.223 8.223 4.013 Å, 90.00 90.00 90.00°
Atoms (fractional coordinates):
Ca  0.174  0.326  0.000
Ca  0.326  0.826  0.000
Ca  0.674  0.174  0.000
Ca  0.826  0.674  0.000
Cd  0.123  0.623  0.500
Cd  0.377  0.123  0.500
Cd  0.623  0.877  0.500
Cd  0.877  0.377  0.500
Pb  0.000  0.000  0.500
Pb  0.500  0.500  0.500

Output
ρ, Mg/m³: 6.27
Crystal system: tetragonal
Uncorrected energy, eV per atom: -31.6196
Space-group type: No. 127